[1]
Material: CsTe2OsI
Method: DFT, GGA-PBE
State: relaxed

Properties
Its symmetry is P4/mmm (123). Its energy above the most stable polymorph in this dataset is 0.000 eV/atom. The formation energy (no corrections) is 50 meV per atom. Its raw total energy is -3.933 eV per atom.

POSCAR file:
```
CsTe2OsI
1.0
-0.732 2.666 4.511
-5.157 -1.172 -0.144
1.071 -5.102 3.189
I Te Cs Os
1 2 1 1
Direct
0.000 0.000 0.500 I
0.500 0.000 0.000 Te
0.000 0.500 0.000 Te
0.500 0.500 0.500 Cs
0.000 0.000 0.000 Os
```

---

[2]
Material: CsTe2OsI
Method: DFT, GGA-PBE
State: relaxed

Properties
Its symmetry is P4/mmm (123). Its energy above the most stable polymorph in this dataset is 1.961 eV/atom. The formation energy (no corrections) is 2011 meV per atom. Its raw total energy is -1.972 eV per atom.

POSCAR file:
```
CsTe2OsI
1.0
6.445 0.000 0.000
0.000 6.445 0.000
0.000 0.000 7.290
I Cs Te Os
1 1 2 1
Direct
0.000 0.000 0.500 I
0.000 0.000 0.000 Cs
0.000 0.500 0.000 Te
0.500 0.000 0.000 Te
0.500 0.500 0.500 Os
```

---

[3]
Material: Cs2TlOsI6
Method: DFT, GGA-PBE
State: relaxed

Properties
Its symmetry is Fm-3m (225). The formation energy (no corrections) is -623 meV per atom. Its raw total energy is -3.084 eV per atom.

POSCAR file:
```
Cs2TlOsI6
1.0
8.572 0.000 0.000
0.000 8.572 0.000
4.286 4.286 6.060
I Os Cs Tl
6 1 2 1
Direct
0.276 0.276 0.000 I
0.724 0.724 0.000 I
0.275 0.275 0.449 I
0.725 0.725 0.551 I
0.276 0.724 0.000 I
0.724 0.276 0.000 I
0.500 0.500 0.000 Os
0.250 0.750 0.500 Cs
0.750 0.250 0.500 Cs
0.000 0.000 0.000 Tl
```

---

[4]
Material: Cs2OsWI6
Method: DFT, GGA-PBE
State: relaxed

Properties
Its symmetry is I4/mmm (139). The formation energy (no corrections) is -92 meV per atom. Its raw total energy is -3.611 eV per atom.

POSCAR file:
```
Cs2OsWI6
1.0
8.082 0.000 0.000
0.000 8.082 0.000
4.041 4.041 5.706
Os W I Cs
1 1 6 2
Direct
0.000 0.000 0.000 Os
0.500 0.500 0.000 W
0.247 0.247 0.507 I
0.753 0.753 0.493 I
0.753 0.753 0.000 I
0.247 0.753 0.000 I
0.247 0.247 0.000 I
0.753 0.247 0.000 I
0.750 0.250 0.500 Cs
0.250 0.750 0.500 Cs
```

---

[5]
Material: Cs2PI2
Method: DFT, GGA-PBE
State: relaxed

Properties
Its symmetry is P4/mbm (127). Its energy above the most stable polymorph in this dataset is 0.067 eV/atom. The formation energy (no corrections) is -492 meV per atom. Its raw total energy is -2.535 eV per atom.

POSCAR file:
```
Cs2PI2
1.0
-4.480 0.135 -7.340
4.692 -6.560 -2.985
-3.798 -3.740 2.249
Cs I P
4 4 2
Direct
0.157 0.657 0.500 Cs
0.843 0.343 0.500 Cs
0.657 0.843 0.500 Cs
0.343 0.157 0.500 Cs
0.327 0.827 0.000 I
0.173 0.327 0.000 I
0.673 0.173 0.000 I
0.827 0.673 0.000 I
0.000 0.000 0.000 P
0.500 0.500 0.000 P
```

---

[6]
Material: CsPI6
Method: DFT, GGA-PBE
State: relaxed

Properties
Its symmetry is R-3m (166). The formation energy (no corrections) is -250 meV per atom. Its raw total energy is -2.195 eV per atom.

POSCAR file:
```
CsPI6
1.0
7.108 -0.426 -0.482
-1.200 7.019 -0.482
-1.200 -1.339 6.907
I Cs P
6 1 1
Direct
0.786 0.436 0.786 I
0.214 0.564 0.214 I
0.786 0.786 0.436 I
0.436 0.786 0.786 I
0.214 0.214 0.564 I
0.564 0.214 0.214 I
0.000 0.000 0.000 Cs
0.500 0.500 0.500 P
```

---

[7]
Material: Cs2PI6
Method: DFT, GGA-PBE
State: relaxed

Properties
Its symmetry is P4_2/mnm (136). Its energy above the most stable polymorph in this dataset is 0.103 eV/atom. The formation energy (no corrections) is -565 meV per atom. Its raw total energy is -2.389 eV per atom.

POSCAR file:
```
Cs2PI6
1.0
-4.657 -5.622 -3.595
1.222 -5.028 6.280
-12.852 5.983 7.290
I P Cs
12 2 4
Direct
0.671 0.671 0.624 I
0.240 0.240 0.000 I
0.829 0.171 0.876 I
0.171 0.829 0.876 I
0.671 0.671 0.376 I
0.329 0.329 0.624 I
0.829 0.171 0.124 I
0.260 0.740 0.500 I
0.760 0.760 0.000 I
0.171 0.829 0.124 I
0.329 0.329 0.376 I
0.740 0.260 0.500 I
0.500 0.500 0.500 P
0.000 0.000 0.000 P
0.000 0.000 0.332 Cs
0.000 0.000 0.668 Cs
0.500 0.500 0.168 Cs
0.500 0.500 0.832 Cs
```

---

[8]
Material: Cs5P2I2
Method: DFT, GGA-PBE
State: relaxed

Properties
Its symmetry is Cmce (64). The formation energy (no corrections) is -841 meV per atom. Its raw total energy is -2.862 eV per atom.

POSCAR file:
```
Cs5P2I2
1.0
-7.589 5.028 -2.809
-5.535 -7.674 1.216
-5.429 5.136 7.702
I Cs P
4 10 4
Direct
0.292 0.500 0.416 I
0.208 0.000 0.584 I
0.708 0.500 0.584 I
0.792 0.000 0.416 I
0.447 0.178 0.747 Cs
0.305 0.678 0.747 Cs
0.695 0.322 0.253 Cs
0.000 0.000 0.000 Cs
0.947 0.322 0.747 Cs
0.805 0.822 0.747 Cs
0.553 0.822 0.253 Cs
0.195 0.178 0.253 Cs
0.500 0.500 0.000 Cs
0.053 0.678 0.253 Cs
0.581 0.081 0.000 P
0.919 0.581 0.000 P
0.419 0.919 0.000 P
0.081 0.419 0.000 P
```

---

[9]
Material: Cs2PI6
Method: DFT, GGA-PBE
State: relaxed

Properties
Its symmetry is Fm-3m (225). Its energy above the most stable polymorph in this dataset is 0.000 eV/atom. The formation energy (no corrections) is -668 meV per atom. Its raw total energy is -2.492 eV per atom.

POSCAR file:
```
Cs2PI6
1.0
-1.556 -7.276 -3.559
5.621 -3.456 -4.949
4.065 -6.745 2.454
I P Cs
6 1 2
Direct
0.237 0.763 0.763 I
0.763 0.763 0.237 I
0.237 0.237 0.763 I
0.237 0.763 0.237 I
0.763 0.237 0.763 I
0.763 0.237 0.237 I
0.000 0.000 0.000 P
0.750 0.750 0.750 Cs
0.250 0.250 0.250 Cs
```

---

[10]
Material: Cs2PI5
Method: DFT, GGA-PBE
State: relaxed

Properties
Its symmetry is P1 (1). The formation energy (no corrections) is -763 meV per atom. Its raw total energy is -2.622 eV per atom.

POSCAR file:
```
Cs2PI5
1.0
9.149 -2.293 3.770
2.481 6.368 2.769
2.920 -2.057 8.344
I Cs P
5 2 1
Direct
0.849 0.825 0.174 I
0.659 0.316 0.775 I
0.201 0.200 0.748 I
0.361 0.658 0.754 I
0.200 0.784 0.380 I
0.156 0.328 0.285 Cs
0.687 0.778 0.867 Cs
0.111 0.889 0.794 P
```

---

[11]
Material: CsPI3
Method: DFT, GGA-PBE
State: relaxed

Properties
Its symmetry is Pm-3m (221). Its energy above the most stable polymorph in this dataset is 1.175 eV/atom. The formation energy (no corrections) is 554 meV per atom. Its raw total energy is -1.629 eV per atom.

POSCAR file:
```
CsPI3
1.0
7.605 0.000 0.000
0.000 7.605 0.000
0.000 0.000 7.605
Cs I P
1 3 1
Direct
0.000 0.000 0.000 Cs
0.000 0.000 0.500 I
0.000 0.500 0.000 I
0.500 0.000 0.000 I
0.500 0.500 0.500 P
```

---

[12]
Material: Cs4PI
Method: DFT, GGA-PBE
State: relaxed

Properties
Its symmetry is C2/c (15). The formation energy (no corrections) is -581 meV per atom. Its raw total energy is -2.310 eV per atom.

POSCAR file:
```
Cs4PI
1.0
8.625 -0.589 -2.327
-3.694 8.901 -3.295
-0.703 -0.415 10.152
Cs I P
8 2 2
Direct
0.062 0.944 0.258 Cs
0.710 0.217 0.324 Cs
0.290 0.783 0.676 Cs
0.790 0.676 0.783 Cs
0.210 0.324 0.217 Cs
0.938 0.056 0.742 Cs
0.438 0.742 0.056 Cs
0.562 0.258 0.944 Cs
0.750 0.637 0.363 I
0.250 0.363 0.637 I
0.250 0.993 0.007 P
0.750 0.007 0.993 P
```